15
Lattice="7.481 0.000 2.458 3.337 6.696 2.458 0.035 0.022 12.508" Properties=species:S:1:pos:R:3 comment="La6BiI8, relaxed, DFT PBE-GGA" raw_formation_energy_ev_per_atom=-1.27 spacegroup="R-3, No. 148" m_tot_mub_per_atom=0.000 crystal_system=trigonal pbc="T T T"
I 7.193 5.971 7.678
I 3.450 5.248 10.591
I 7.330 2.943 11.397
I 3.661 0.747 9.745
I 7.248 4.486 15.783
I 3.605 2.232 1.640
I 3.523 3.774 6.025
I 7.404 1.470 6.832
La 5.532 0.367 12.443
La 5.332 4.788 13.277
La 5.521 1.930 4.146
La 5.321 6.351 4.979
La 1.724 2.637 11.654
La 9.130 4.081 5.769
Bi 0.000 0.000 0.000

---

5
Lattice="-3.092 1.452 -5.201 -5.367 -1.492 2.774 -0.600 5.864 1.994" Properties=species:S:1:pos:R:3 comment="LaBi3I, relaxed, DFT PBE-GGA" raw_formation_energy_ev_per_atom=0.40 de_polymorph_kj_per_mol_fu=0.0 spacegroup="Pm-3m, No. 221" m_tot_mub_per_atom=0.000 crystal_system=cubic pbc="T T T"
La 0.000 0.000 0.000
Bi -1.546 0.726 -2.601
Bi -0.300 2.932 0.997
Bi -2.683 -0.746 1.387
I -4.529 2.912 -0.217

---

9
Lattice="4.674 0.000 0.006 -2.337 4.047 -0.006 0.002 -0.001 18.987" Properties=species:S:1:pos:R:3 comment="La4Bi2I3, relaxed, DFT PBE-GGA" raw_formation_energy_ev_per_atom=-1.19 spacegroup="C2/m, No. 12" m_tot_mub_per_atom=0.000 crystal_system=monoclinic pbc="T T T"
I 2.328 1.354 7.519
I 0.000 0.000 0.000
I 0.011 2.692 11.468
La 2.335 1.351 1.925
La 4.667 0.004 5.561
La -2.328 4.042 13.426
La 0.005 2.696 17.062
Bi -0.004 2.701 3.755
Bi 2.344 1.345 15.232

---

12
Lattice="-2.179 2.573 5.395 1.639 -8.826 4.871 5.280 7.404 -1.398" Properties=species:S:1:pos:R:3 comment="LaBiI, relaxed, DFT PBE-GGA" raw_formation_energy_ev_per_atom=-1.13 de_polymorph_kj_per_mol_fu=0.0 spacegroup="Cmcm, No. 63" m_tot_mub_per_atom=0.000 crystal_system=orthorhombic pbc="T T T"
Bi 0.778 -4.403 9.914
Bi 4.507 -1.986 6.520
Bi 0.233 3.137 2.348
Bi 3.961 5.554 -1.047
La 2.351 4.846 4.267
La 5.027 0.008 3.904
La 2.388 -3.695 4.601
La -0.288 1.143 4.964
I 4.513 2.930 2.302
I 1.874 -0.772 3.000
I 2.866 1.923 5.868
I 0.226 -1.780 6.566